A plane-wave DFT calculation with GGA-PBEsol was carried out for Y4TlTc after structural relaxation.

abc: 5.9507 5.9507 5.9507
angles: 60.00 60.00 60.00
Last column: magnetic moment on the atom in μB.
Element x y z (fractional)
Tc (0.7500, 0.7500, 0.7500)  0.95
Tl (0.0000, 0.0000, 0.0000)  0.00
Y (0.3764, 0.3764, 0.3764)  0.08
Y (0.3764, 0.3764, 0.8709)  0.08
Y (0.8709, 0.3764, 0.3764)  0.08
Y (0.3764, 0.8709, 0.3764)  0.08

## Properties
ΔE_f: 409 kJ/mol of formula units
calculated volume: 24.8 A^3/atom
E_tot: -6.157 eV/atom

=====

A plane-wave DFT calculation with GGA-PBEsol was carried out for Sm4Ge3S12 after structural relaxation.

abc: 7.7766 11.2905 11.2905
angles: 114.89 103.27 103.27
Element x y z (fractional)
Sm (0.5015, 0.0000, 0.0000)
Sm (0.0015, 0.0000, 0.0000)
Sm (0.0596, 0.7774, 0.5365)
Sm (0.2821, 0.7590, 0.2226)
Sm (0.5231, 0.4635, 0.2410)
Sm (0.5596, 0.5365, 0.7774)
Sm (0.0231, 0.2410, 0.4635)
Sm (0.7821, 0.2226, 0.7590)
Ge (0.3562, 0.2112, 0.8256)
Ge (0.1450, 0.6144, 0.7888)
Ge (0.5306, 0.1744, 0.3856)
Ge (0.8562, 0.8256, 0.2112)
Ge (0.0306, 0.3856, 0.1744)
Ge (0.6450, 0.7888, 0.6144)
S (0.1202, 0.9301, 0.3984)
S (0.1901, 0.4683, 0.0699)
S (0.7217, 0.6016, 0.5317)
S (0.6202, 0.3984, 0.9301)
S (0.2217, 0.5317, 0.6016)
S (0.6901, 0.0699, 0.4683)
S (0.3153, 0.1878, 0.0061)
S (0.1275, 0.8184, 0.8122)
S (0.3091, 0.9939, 0.1816)
S (0.8153, 0.0061, 0.1878)
S (0.8091, 0.1816, 0.9939)
S (0.6275, 0.8122, 0.8184)
S (0.4147, 0.0214, 0.7088)
S (0.3933, 0.6874, 0.9786)
S (0.7059, 0.2912, 0.3126)
S (0.9147, 0.7088, 0.0214)
S (0.2059, 0.3126, 0.2912)
S (0.8933, 0.9786, 0.6874)
S (0.6475, 0.7361, 0.2853)
S (0.9114, 0.5491, 0.2639)
S (0.3623, 0.7147, 0.4509)
S (0.1475, 0.2853, 0.7361)
S (0.8623, 0.4509, 0.7147)
S (0.4114, 0.2639, 0.5491)

## Properties
calculated volume: 21.4 A^3/atom
E_tot: -5.908 eV/atom
formation energy (no corrections): -1.287 eV/atom

=====

A plane-wave DFT calculation with GGA-PBEsol was carried out for La3TcAu after structural relaxation.

abc: 5.6193 5.6193 5.6193
angles: 90.00 90.00 90.00
Last column: magnetic moment on the atom in μB.
Element x y z (fractional)
Au (0.0000, 0.0000, 0.0000)  -0.03
Tc (0.5000, 0.5000, 0.5000)  2.65
La (0.0000, 0.5000, 0.0000)  -0.19
La (0.0000, 0.0000, 0.5000)  -0.19
La (0.5000, 0.0000, 0.0000)  -0.19

## Properties
ΔE_f: 400 kJ/mol of formula units
calculated volume: 35.5 A^3/atom
E_tot: -5.417 eV/atom

=====

A plane-wave DFT calculation with GGA-PBEsol was carried out for RbNi3S after structural relaxation.

abc: 4.3185 4.3185 4.3185
angles: 90.00 90.00 90.00
Last column: magnetic moment on the atom in μB.
Element x y z (fractional)
Ni (0.0000, 0.5000, 0.0000)  0.29
Ni (0.0000, 0.0000, 0.5000)  0.29
Ni (0.5000, 0.0000, 0.0000)  0.29
S (0.0000, 0.0000, 0.0000)  0.04
Rb (0.5000, 0.5000, 0.5000)  0.00

## Properties
calculated volume: 16.1 A^3/atom
E_tot: -4.515 eV/atom
formation energy (no corrections): 0.261 eV/atom

=====

What did the third record say?
A plane-wave DFT calculation with GGA-PBEsol was carried out for La3TcAu after structural relaxation.

abc: 5.6193 5.6193 5.6193
angles: 90.00 90.00 90.00
Last column: magnetic moment on the atom in μB.
Element x y z (fractional)
Au (0.0000, 0.0000, 0.0000)  -0.03
Tc (0.5000, 0.5000, 0.5000)  2.65
La (0.0000, 0.5000, 0.0000)  -0.19
La (0.0000, 0.0000, 0.5000)  -0.19
La (0.5000, 0.0000, 0.0000)  -0.19

## Properties
ΔE_f: 400 kJ/mol of formula units
calculated volume: 35.5 A^3/atom
E_tot: -5.417 eV/atom

=====

Question: The lowest E_tot belongs to which entry?
Answer: Y4TlTc